## i
Computed, not measured: a relaxed structure of SmMgSn6 at the PBE level of DFT.

a = 4.638 Å, b = 4.638 Å, c = 9.819 Å
α = 90.00°, β = 90.00°, γ = 90.00°
Fractional positions:
Sm1 0.000 0.000 0.000
Mg1 0.000 0.000 0.500
Sn1 0.000 0.500 0.256
Sn2 0.000 0.500 0.744
Sn3 0.500 0.000 0.256
Sn4 0.500 0.000 0.744
Sn5 0.500 0.500 0.000
Sn6 0.500 0.500 0.500



## ii
Computed, not measured: a relaxed structure of SmMgSn6 at the PBE level of DFT.

a = 6.786 Å, b = 6.786 Å, c = 4.542 Å
α = 90.00°, β = 90.00°, γ = 90.00°
Fractional positions:
Sm1 0.000 0.000 0.000
Mg1 0.500 0.500 0.000
Sn1 0.000 0.500 0.000
Sn2 0.264 0.264 0.500
Sn3 0.264 0.736 0.500
Sn4 0.500 0.000 0.000
Sn5 0.736 0.264 0.500
Sn6 0.736 0.736 0.500



Which structure is the most stable? The one labeled ii.



## i
Computed, not measured: a relaxed structure of SmMgTlSn at the PBE level of DFT.

a = 7.533 Å, b = 7.533 Å, c = 7.533 Å
α = 90.00°, β = 90.00°, γ = 90.00°
Fractional positions:
Sm1 0.000 0.000 0.000
Sm2 0.000 0.500 0.500
Sm3 0.500 0.000 0.500
Sm4 0.500 0.500 0.000
Mg1 0.000 0.000 0.500
Mg2 0.000 0.500 0.000
Mg3 0.500 0.000 0.000
Mg4 0.500 0.500 0.500
Tl1 0.250 0.250 0.250
Tl2 0.250 0.750 0.750
Tl3 0.750 0.250 0.750
Tl4 0.750 0.750 0.250
Sn1 0.250 0.250 0.750
Sn2 0.250 0.750 0.250
Sn3 0.750 0.250 0.250
Sn4 0.750 0.750 0.750



## ii
Computed, not measured: a relaxed structure of SmMgTlSn at the PBE level of DFT.

a = 4.460 Å, b = 4.719 Å, c = 4.925 Å
α = 90.00°, β = 90.00°, γ = 90.00°
Fractional positions:
Sm1 0.000 0.000 0.000
Mg1 0.000 0.500 0.500
Tl1 0.500 0.000 0.500
Sn1 0.500 0.500 0.000



Which structure is the most stable? The one labeled ii.



## i
Computed, not measured: a relaxed structure of SrSm2Mg at the PBE level of DFT.

a = 3.624 Å, b = 3.624 Å, c = 37.859 Å
α = 90.00°, β = 90.00°, γ = 120.00°
Fractional positions:
Sr1 0.000 0.000 0.000
Sr2 0.333 0.667 0.667
Sr3 0.667 0.333 0.333
Sm1 0.000 0.000 0.097
Sm2 0.000 0.000 0.903
Sm3 0.333 0.667 0.570
Sm4 0.333 0.667 0.763
Sm5 0.667 0.333 0.237
Sm6 0.667 0.333 0.430
Mg1 0.000 0.000 0.500
Mg2 0.333 0.667 0.167
Mg3 0.667 0.333 0.833



## ii
Computed, not measured: a relaxed structure of SrSm2Mg at the PBE level of DFT.

a = 3.900 Å, b = 3.900 Å, c = 9.350 Å
α = 90.00°, β = 90.00°, γ = 90.00°
Fractional positions:
Sr1 0.000 0.000 0.000
Sm1 0.500 0.500 0.307
Sm2 0.500 0.500 0.693
Mg1 0.000 0.000 0.500



## iii
Computed, not measured: a relaxed structure of SrSm2Mg at the PBE level of DFT.

a = 5.094 Å, b = 5.094 Å, c = 5.316 Å
α = 90.00°, β = 90.00°, γ = 90.00°
Fractional positions:
Sr1 0.000 0.000 0.000
Sm1 0.000 0.500 0.500
Sm2 0.500 0.000 0.500
Mg1 0.500 0.500 0.000



Which structure is the most stable? The one labeled ii.



## i
Computed, not measured: a relaxed structure of SrSmMg2 at the PBE level of DFT.

a = 4.027 Å, b = 4.027 Å, c = 7.965 Å
α = 90.00°, β = 90.00°, γ = 90.00°
Fractional positions:
Sr1 0.000 0.000 0.000
Sm1 0.000 0.000 0.500
Mg1 0.500 0.500 0.281
Mg2 0.500 0.500 0.719



## ii
Computed, not measured: a relaxed structure of SrSmMg2 at the PBE level of DFT.

a = 8.013 Å, b = 8.013 Å, c = 8.013 Å
α = 90.00°, β = 90.00°, γ = 90.00°
Fractional positions:
Sr1 0.000 0.000 0.000
Sr2 0.000 0.500 0.500
Sr3 0.500 0.000 0.500
Sr4 0.500 0.500 0.000
Sm1 0.000 0.000 0.500
Sm2 0.000 0.500 0.000
Sm3 0.500 0.000 0.000
Sm4 0.500 0.500 0.500
Mg1 0.250 0.250 0.250
Mg2 0.250 0.250 0.750
Mg3 0.250 0.750 0.250
Mg4 0.250 0.750 0.750
Mg5 0.750 0.250 0.250
Mg6 0.750 0.250 0.750
Mg7 0.750 0.750 0.250
Mg8 0.750 0.750 0.750



Which structure is the most stable? The one labeled i.



## i
Computed, not measured: a relaxed structure of SrSmMgTl at the PBE level of DFT.

a = 3.975 Å, b = 3.975 Å, c = 8.059 Å
α = 90.00°, β = 90.00°, γ = 90.00°
Fractional positions:
Sr1 0.000 0.000 0.000
Sm1 0.000 0.000 0.495
Mg1 0.500 0.500 0.720
Tl1 0.500 0.500 0.271



## ii
Computed, not measured: a relaxed structure of SrSmMgTl at the PBE level of DFT.

a = 7.947 Å, b = 7.947 Å, c = 7.947 Å
α = 90.00°, β = 90.00°, γ = 90.00°
Fractional positions:
Sr1 0.000 0.000 0.000
Sr2 0.000 0.500 0.500
Sr3 0.500 0.000 0.500
Sr4 0.500 0.500 0.000
Sm1 0.000 0.000 0.500
Sm2 0.000 0.500 0.000
Sm3 0.500 0.000 0.000
Sm4 0.500 0.500 0.500
Mg1 0.250 0.250 0.250
Mg2 0.250 0.750 0.750
Mg3 0.750 0.250 0.750
Mg4 0.750 0.750 0.250
Tl1 0.250 0.250 0.750
Tl2 0.250 0.750 0.250
Tl3 0.750 0.250 0.250
Tl4 0.750 0.750 0.750



Which structure is the most stable? The one labeled i.



## i
Computed, not measured: a relaxed structure of Tb4Sm3Mg at the PBE level of DFT.

a = 25.748 Å, b = 3.416 Å, c = 5.912 Å
α = 90.00°, β = 96.04°, γ = 90.00°
Fractional positions:
Tb1 0.102 0.000 0.193
Tb2 0.218 0.500 0.237
Tb3 0.282 0.000 0.763
Tb4 0.398 0.500 0.807
Tb5 0.602 0.500 0.193
Tb6 0.718 0.000 0.237
Tb7 0.782 0.500 0.763
Tb8 0.898 0.000 0.807
Sm1 0.000 0.000 0.500
Sm2 0.149 0.000 0.716
Sm3 0.351 0.500 0.284
Sm4 0.500 0.500 0.500
Sm5 0.649 0.500 0.716
Sm6 0.851 0.000 0.284
Mg1 0.000 0.500 0.000
Mg2 0.500 0.000 0.000



## ii
Computed, not measured: a relaxed structure of Tb4Sm3Mg at the PBE level of DFT.

a = 11.350 Å, b = 7.164 Å, c = 6.259 Å
α = 90.00°, β = 90.00°, γ = 90.00°
Fractional positions:
Tb1 0.000 0.126 0.000
Tb2 0.000 0.628 0.007
Tb3 0.244 0.127 0.657
Tb4 0.256 0.873 0.157
Tb5 0.500 0.372 0.507
Tb6 0.500 0.874 0.500
Tb7 0.744 0.873 0.157
Tb8 0.756 0.127 0.657
Sm1 0.000 0.879 0.480
Sm2 0.244 0.621 0.667
Sm3 0.256 0.379 0.167
Sm4 0.500 0.121 0.980
Sm5 0.744 0.379 0.167
Sm6 0.756 0.621 0.667
Mg1 0.000 0.376 0.497
Mg2 0.500 0.624 0.997



Which structure is the most stable? The one labeled ii.



## i
Computed, not measured: a relaxed structure of Tb2SmMg at the PBE level of DFT.

a = 3.468 Å, b = 3.468 Å, c = 37.035 Å
α = 90.00°, β = 90.00°, γ = 120.00°
Fractional positions:
Tb1 0.000 0.000 0.089
Tb2 0.000 0.000 0.911
Tb3 0.333 0.667 0.578
Tb4 0.333 0.667 0.755
Tb5 0.667 0.333 0.245
Tb6 0.667 0.333 0.422
Sm1 0.000 0.000 0.500
Sm2 0.333 0.667 0.167
Sm3 0.667 0.333 0.833
Mg1 0.000 0.000 0.000
Mg2 0.333 0.667 0.667
Mg3 0.667 0.333 0.333



## ii
Computed, not measured: a relaxed structure of Tb2SmMg at the PBE level of DFT.

a = 7.838 Å, b = 7.838 Å, c = 7.838 Å
α = 90.00°, β = 90.00°, γ = 90.00°
Fractional positions:
Tb1 0.250 0.250 0.250
Tb2 0.250 0.250 0.750
Tb3 0.250 0.750 0.250
Tb4 0.250 0.750 0.750
Tb5 0.750 0.250 0.250
Tb6 0.750 0.250 0.750
Tb7 0.750 0.750 0.250
Tb8 0.750 0.750 0.750
Sm1 0.000 0.000 0.000
Sm2 0.000 0.500 0.500
Sm3 0.500 0.000 0.500
Sm4 0.500 0.500 0.000
Mg1 0.000 0.000 0.500
Mg2 0.000 0.500 0.000
Mg3 0.500 0.000 0.000
Mg4 0.500 0.500 0.500



Which structure is the most stable? The one labeled ii.



## i
Computed, not measured: a relaxed structure of Tb2SmMg at the PBE level of DFT.

a = 6.137 Å, b = 3.532 Å, c = 11.540 Å
α = 90.00°, β = 100.23°, γ = 90.00°
Fractional positions:
Tb1 0.000 0.000 0.000
Tb2 0.162 0.000 0.486
Tb3 0.500 0.500 0.000
Tb4 0.662 0.500 0.486
Sm1 0.081 0.500 0.744
Sm2 0.581 0.000 0.744
Mg1 0.413 0.000 0.243
Mg2 0.913 0.500 0.243



## ii
Computed, not measured: a relaxed structure of Tb2SmMg at the PBE level of DFT.

a = 7.251 Å, b = 7.250 Å, c = 9.916 Å
α = 90.00°, β = 111.44°, γ = 90.00°
Fractional positions:
Tb1 0.134 0.000 0.268
Tb2 0.250 0.250 0.000
Tb3 0.250 0.750 0.000
Tb4 0.366 0.500 0.732
Tb5 0.634 0.500 0.268
Tb6 0.750 0.250 0.000
Tb7 0.750 0.750 0.000
Tb8 0.866 0.000 0.732
Sm1 0.133 0.500 0.265
Sm2 0.367 0.000 0.735
Sm3 0.633 0.000 0.265
Sm4 0.867 0.500 0.735
Mg1 0.000 0.250 0.500
Mg2 0.000 0.750 0.500
Mg3 0.500 0.250 0.500
Mg4 0.500 0.750 0.500



## iii
Computed, not measured: a relaxed structure of Tb2SmMg at the PBE level of DFT.

a = 4.930 Å, b = 4.930 Å, c = 4.966 Å
α = 90.00°, β = 90.00°, γ = 90.00°
Fractional positions:
Tb1 0.000 0.500 0.000
Tb2 0.500 0.000 0.000
Sm1 0.000 0.000 0.500
Mg1 0.500 0.500 0.500



Which structure is the most stable? The one labeled ii.